! HfInHg | Alexandria | PBE-GGA | optimized geometry; values from VASP
! - E_form: 3.2 kJ per mole of atoms
! - VASP energy: -4.30 eV/atom
! - Excess energy over the best structure of this formula in the dataset: 0.033 eV/atom
! - M_tot: 0.00 μB per formula unit
&SYSTEM
  ibrav = 0, nat = 3, ntyp = 3
/
ATOMIC_SPECIES
Hg 200.59 Hg.upf
Hf 178.49 Hf.upf
In 114.82 In.upf
ATOMIC_POSITIONS crystal
Hg 0.373 0.333 0.667
Hf 0.032 0.000 0.000
In 0.595 0.667 0.333
CELL_PARAMETERS angstrom
3.320 0.000 0.000
0.000 4.795 0.000
0.000 -2.398 4.153